(1)
The following is a meta-GGA SCAN calculation of MnSnF6 at its PBEsol-relaxed geometry, from the Alexandria database.

Lattice parameters (Å, degrees): 5.347 5.347 5.648 61.75 61.75 60.00
Each line ends with the local moment (μB).
Fractional coordinates of all 8 atoms:
Mn1 0.500 0.500 0.500  4.63
Sn1 0.000 0.000 0.000  0.05
F1 0.642 0.244 0.244  0.03
F2 0.244 0.870 0.244  0.03
F3 0.870 0.642 0.244  0.03
F4 0.130 0.358 0.756  0.03
F5 0.756 0.130 0.756  0.03
F6 0.358 0.756 0.756  0.03

Computed properties:
Crystal system: trigonal
Total energy in eV/atom: -12.16
Formation energy (no corrections) in meV per atom: -2732
Space-group type: R-3
Calculated density in g cm⁻³: 4.08

=====

(2)
The following is a meta-GGA SCAN calculation of SrMgTiBi2 at its PBEsol-relaxed geometry, from the Alexandria database.

Lattice parameters (Å, degrees): 5.218 5.932 5.932 90.00 90.00 90.00
Each line ends with the local moment (μB).
Fractional coordinates of all 5 atoms:
Sr1 0.000 0.000 0.000  0.23
Mg1 0.500 0.500 0.500  -0.01
Bi1 0.000 0.000 0.500  -0.08
Bi2 0.000 0.500 0.000  -0.08
Ti1 0.500 0.000 0.000  2.27

Computed properties:
Crystal system: tetragonal
Formation energy from the elements in eV/atom: 1.101
Total energy in eV/atom: -38.99
Space-group type: P4/mmm
Calculated density in g cm⁻³: 5.23

=====

(3)
The following is a meta-GGA SCAN calculation of Er2Rh at its PBEsol-relaxed geometry, from the Alexandria database.

Lattice parameters (Å, degrees): 5.620 5.620 5.620 106.96 106.96 114.62
Fractional coordinates of all 6 atoms:
Rh1 0.750 0.750 0.000
Rh2 0.250 0.250 0.000
Er1 0.178 0.678 0.856
Er2 0.822 0.322 0.144
Er3 0.322 0.178 0.500
Er4 0.678 0.822 0.500

Computed properties:
Crystal system: tetragonal
Formation energy from the elements in eV/atom: -0.779
Total energy in eV/atom: -45.60
Space-group type: I4/mcm
Calculated density in g cm⁻³: 10.69

=====

(4)
The following is a meta-GGA SCAN calculation of SrSc2W at its PBEsol-relaxed geometry, from the Alexandria database.

Lattice parameters (Å, degrees): 4.482 4.482 5.505 114.02 114.02 90.00
Fractional coordinates of all 4 atoms:
Sc1 0.000 0.000 0.000
Sc2 0.750 0.250 0.500
Sr1 0.500 0.500 0.000
W1 0.250 0.750 0.500

Computed properties:
Crystal system: tetragonal
Formation energy from the elements in eV/atom: 0.871
Total energy in eV/atom: -29.24
Space-group type: I-4m2
Calculated density in g cm⁻³: 6.64

=====

(5)
The following is a meta-GGA SCAN calculation of AlTc2Se at its PBEsol-relaxed geometry, from the Alexandria database.

Lattice parameters (Å, degrees): 2.948 4.767 5.070 118.04 106.90 90.00
Fractional coordinates of all 4 atoms:
Tc1 0.726 0.726 0.452
Tc2 0.274 0.274 0.548
Se1 0.000 0.500 0.000
Al1 0.500 0.000 0.000

Computed properties:
Crystal system: orthorhombic
Total energy in eV/atom: -24.27
Formation energy (no corrections) in meV per atom: 218
Space-group type: Immm
Calculated density in g cm⁻³: 8.44

=====

(6)
The following is a meta-GGA SCAN calculation of CaB3Pt at its PBEsol-relaxed geometry, from the Alexandria database.

Lattice parameters (Å, degrees): 4.140 4.140 4.140 90.00 90.00 90.00
Each line ends with the local moment (μB).
Fractional coordinates of all 5 atoms:
Ca1 0.500 0.500 0.500  0.04
B1 0.000 0.500 0.000  0.13
B2 0.000 0.000 0.500  0.13
B3 0.500 0.000 0.000  0.13
Pt1 0.000 0.000 0.000  0.18

Computed properties:
Crystal system: cubic
Formation energy from the elements in eV/atom: 0.610
Total energy in eV/atom: -19.82
Space-group type: Pm-3m
Calculated density in g cm⁻³: 6.26

=====

(7)
The following is a meta-GGA SCAN calculation of CdCu7 at its PBEsol-relaxed geometry, from the Alexandria database.

Lattice parameters (Å, degrees): 5.188 5.188 5.188 60.00 60.00 60.00
Fractional coordinates of all 8 atoms:
Cd1 0.000 0.000 0.000
Cu1 0.500 0.000 0.000
Cu2 0.500 0.500 0.000
Cu3 0.000 0.500 0.000
Cu4 0.500 0.000 0.500
Cu5 0.000 0.000 0.500
Cu6 0.000 0.500 0.500
Cu7 0.500 0.500 0.500

Computed properties:
Crystal system: cubic
Formation energy from the elements in eV/atom: 0.079
Total energy in eV/atom: -17.02
Space-group type: Fm-3m
Calculated density in g cm⁻³: 9.37

=====

(8)
The following is a meta-GGA SCAN calculation of SbPtPb2 at its PBEsol-relaxed geometry, from the Alexandria database.

Lattice parameters (Å, degrees): 3.922 4.268 6.395 109.34 90.00 90.00
Fractional coordinates of all 4 atoms:
Pb1 0.000 0.925 0.975
Pb2 0.500 0.601 0.327
Pt1 0.000 0.159 0.446
Sb1 0.500 0.315 0.752

Computed properties:
Crystal system: monoclinic
Total energy in eV/atom: -64.85
Formation energy (no corrections) in meV per atom: -94
Space-group type: Pm
Calculated density in g cm⁻³: 12.02

=====

| no. | magnetic moment (μB per cell) | N(E_F) (states/eV/atom) |
| --- | --- | --- |
| 1 | 5.00 | 0.00 |
| 2 | 3.00 | 0.72 |
| 3 | 0.00 | 0.92 |
| 4 | 0.00 | 0.65 |
| 5 | 0.00 | 0.66 |
| 6 | 1.13 | 0.59 |
| 7 | 0.00 | 0.35 |
| 8 | 0.00 | 0.51 |